## w
A plane-wave DFT calculation with PBE was carried out for LaTm2Tl2 after structural relaxation.

```
LaTm2Tl2
1.0
3.780 0.000 0.000
0.000 5.528 0.000
-1.892 0.000 14.106
La Tm Tl
2 4 4
Cartesian
-0.004 1.382 4.156 La
1.892 4.146 9.950 La
-0.002 4.146 1.419 Tm
-0.002 4.146 6.678 Tm
1.890 1.382 7.428 Tm
1.891 1.382 12.687 Tm
0.000 1.382 10.025 Tl
-0.008 4.146 12.857 Tl
1.896 1.382 1.249 Tl
1.888 4.146 4.081 Tl
```

Summary:
ρ = 10.0 g/cm3
DOS(E_F) = 5.5 states/eV/f.u.
size of the total moment = 0.000 μB/cell

## x
A plane-wave DFT calculation with PBE was carried out for LaTm2Tl2 after structural relaxation.

```
LaTm2Tl2
1.0
6.538 0.000 0.000
2.846 5.955 0.000
2.617 1.088 7.723
La Tm Tl
2 4 4
Cartesian
2.423 2.500 1.970 La
9.578 4.543 5.753 La
7.081 6.800 7.119 Tm
6.452 5.179 3.725 Tm
5.549 1.864 3.998 Tm
4.920 0.243 0.605 Tm
3.538 5.477 2.581 Tl
6.147 3.715 6.572 Tl
5.854 3.327 1.151 Tl
8.464 1.566 5.142 Tl
```

Summary:
ρ = 9.8 g/cm3
DOS(E_F) = 5.9 states/eV/f.u.
size of the total moment = 0.000 μB/cell

Stability ranking, top entry: w; the second entry is 1.0 kJ/mol of atoms less favorable.

## w
A plane-wave DFT calculation with PBE was carried out for LaTm4Tl after structural relaxation.

```
LaTm4Tl
1.0
4.320 -7.054 0.000
4.320 7.054 0.000
-2.035 0.000 6.061
La Tm Tl
2 8 2
Cartesian
2.793 5.807 4.546 La
3.811 -5.807 1.515 La
0.082 1.836 5.329 Tm
2.558 2.682 2.787 Tm
1.100 -1.836 2.298 Tm
5.063 2.682 0.244 Tm
1.541 -2.682 5.818 Tm
5.504 1.836 3.763 Tm
4.046 -2.682 3.275 Tm
6.522 -1.836 0.732 Tm
3.811 -0.001 1.515 Tl
2.793 0.001 4.546 Tl
```

Summary:
ρ = 9.2 g/cm3
DOS(E_F) = 6.8 states/eV/f.u.
size of the total moment = 0.000 μB/cell

## x
A plane-wave DFT calculation with PBE was carried out for LaTm4Tl after structural relaxation.

```
LaTm4Tl
1.0
3.585 0.000 0.000
0.000 3.585 0.000
0.000 0.000 14.122
La Tm Tl
1 4 1
Cartesian
0.000 0.000 0.000 La
0.000 0.000 4.973 Tm
0.000 0.000 9.149 Tm
1.793 1.793 2.573 Tm
1.793 1.793 11.549 Tm
1.793 1.793 7.061 Tl
```

Summary:
ρ = 9.3 g/cm3
DOS(E_F) = 6.5 states/eV/f.u.
size of the total moment = 0.000 μB/cell

Stability ranking, top entry: x; the second entry is 8.0 kJ/mol of atoms less favorable.

## w
A plane-wave DFT calculation with PBE was carried out for LaTlV2 after structural relaxation.

```
LaTlV2
1.0
0.000 3.581 3.581
3.581 0.000 3.581
3.581 3.581 0.000
La Tl V
1 1 2
Cartesian
0.000 0.000 0.000 La
3.581 3.581 3.581 Tl
1.790 1.790 1.790 V
5.371 5.371 5.371 V
```

Summary:
ρ = 8.1 g/cm3
DOS(E_F) = 3.9 states/eV/f.u.
size of the total moment = 7.538 μB/cell

## x
A plane-wave DFT calculation with PBE was carried out for LaTlV2 after structural relaxation.

```
LaTlV2
1.0
-3.998 3.998 3.140
3.998 -3.998 3.140
3.998 3.998 -3.140
La Tl V
2 2 4
Cartesian
0.000 0.000 0.000 La
0.000 3.998 1.570 La
3.998 0.000 1.570 Tl
0.000 0.000 3.140 Tl
1.999 -1.750 2.355 V
2.248 1.999 0.785 V
1.999 5.747 -0.785 V
1.750 1.999 3.926 V
```

Summary:
ρ = 7.4 g/cm3
DOS(E_F) = 7.6 states/eV/f.u.
size of the total moment = 11.555 μB/cell

Stability ranking, top entry: w; the second entry is 36.2 kJ/mol of atoms less favorable.

## w
A plane-wave DFT calculation with PBE was carried out for LaTl2W after structural relaxation.

```
LaTl2W
1.0
0.000 3.748 3.748
3.748 0.000 3.748
3.748 3.748 0.000
La Tl W
1 2 1
Cartesian
0.000 0.000 0.000 La
3.748 3.748 3.748 Tl
5.622 5.622 5.622 Tl
1.874 1.874 1.874 W
```

Summary:
ρ = 11.5 g/cm3
DOS(E_F) = 6.1 states/eV/f.u.
size of the total moment = 3.073 μB/cell

## x
A plane-wave DFT calculation with PBE was carried out for LaTl2W after structural relaxation.

```
LaTl2W
1.0
1.619 0.935 11.094
-1.619 0.935 11.094
0.000 -1.869 11.094
La Tl W
1 2 1
Cartesian
0.000 0.000 0.000 La
0.000 0.000 17.166 Tl
0.000 0.000 25.338 Tl
0.000 0.000 8.497 W
```

Summary:
ρ = 12.1 g/cm3
DOS(E_F) = 3.8 states/eV/f.u.
size of the total moment = 0.039 μB/cell

Stability ranking, top entry: x; the second entry is 14.6 kJ/mol of atoms less favorable.

## w
A plane-wave DFT calculation with PBE was carried out for LaYTl3 after structural relaxation.

```
LaYTl3
1.0
1.899 -15.429 0.000
1.899 15.429 0.000
0.000 0.000 5.047
La Y Tl
2 2 6
Cartesian
1.899 13.023 3.785 La
1.899 -13.023 1.262 La
1.899 8.904 1.262 Y
1.899 -8.904 3.785 Y
1.899 5.778 1.262 Tl
1.899 3.847 3.785 Tl
1.899 0.792 3.785 Tl
1.899 -0.792 1.262 Tl
1.899 -3.847 1.262 Tl
1.899 -5.778 3.785 Tl
```

Summary:
ρ = 9.4 g/cm3
DOS(E_F) = 4.3 states/eV/f.u.
size of the total moment = 0.000 μB/cell

## x
A plane-wave DFT calculation with PBE was carried out for LaYTl3 after structural relaxation.

```
LaYTl3
1.0
5.686 0.000 0.000
0.000 5.686 0.000
0.000 0.000 5.686
La Y Tl
1 1 3
Cartesian
0.000 0.000 0.000 La
2.843 2.843 2.843 Y
0.000 2.843 2.843 Tl
2.843 0.000 2.843 Tl
2.843 2.843 0.000 Tl
```

Summary:
ρ = 7.6 g/cm3
DOS(E_F) = 6.4 states/eV/f.u.
size of the total moment = 0.695 μB/cell

Stability ranking, top entry: w; the second entry is 50.4 kJ/mol of atoms less favorable.

## w
A plane-wave DFT calculation with PBE was carried out for La2YTl2 after structural relaxation.

```
La2YTl2
1.0
9.404 0.000 0.000
0.000 9.404 0.000
0.000 0.000 3.614
La Y Tl
4 2 4
Cartesian
1.102 3.600 0.000 La
3.600 8.303 0.000 La
5.804 1.102 0.000 La
8.303 5.804 0.000 La
0.000 0.000 0.000 Y
4.702 4.702 0.000 Y
1.687 6.389 1.807 Tl
3.015 1.687 1.807 Tl
6.389 7.717 1.807 Tl
7.717 3.015 1.807 Tl
```

Summary:
ρ = 8.1 g/cm3
DOS(E_F) = 7.4 states/eV/f.u.
size of the total moment = 0.016 μB/cell

## x
A plane-wave DFT calculation with PBE was carried out for La2YTl2 after structural relaxation.

```
La2YTl2
1.0
8.306 0.000 0.000
0.000 8.306 0.000
0.000 0.000 4.751
La Y Tl
4 2 4
Cartesian
1.399 2.754 0.000 La
2.754 6.907 0.000 La
5.552 1.399 0.000 La
6.907 5.552 0.000 La
0.000 0.000 2.375 Y
4.153 4.153 2.375 Y
1.096 5.249 2.375 Tl
3.057 1.096 2.375 Tl
5.249 7.210 2.375 Tl
7.210 3.057 2.375 Tl
```

Summary:
ρ = 7.9 g/cm3
DOS(E_F) = 9.1 states/eV/f.u.
size of the total moment = 0.002 μB/cell

## y
A plane-wave DFT calculation with PBE was carried out for La2YTl2 after structural relaxation.

```
La2YTl2
1.0
-2.525 3.623 4.392
2.525 -3.623 4.392
2.525 3.623 -4.392
La Y Tl
2 1 2
Cartesian
0.000 0.000 1.609 La
0.000 0.000 7.175 La
0.000 3.623 0.000 Y
2.525 1.634 0.000 Tl
0.000 1.989 4.392 Tl
```

Summary:
ρ = 8.0 g/cm3
DOS(E_F) = 4.4 states/eV/f.u.
size of the total moment = 0.000 μB/cell

Stability ranking, top entry: x; the second entry is 2.4 kJ/mol of atoms less favorable.